Material: CsAuI2N
Method: DFT, PBE
State: optimized geometry

Structure (CIF):
```
data_CsAuI2N
_symmetry_space_group_name_H-M 'P 4/m m m'
_symmetry_Int_Tables_number 123
_symmetry_space_group_name_Hall '-P 4 2'
_cell_length_a 7.0121
_cell_length_b 7.0121
_cell_length_c 4.9081
_cell_angle_alpha 90.00
_cell_angle_beta 90.00
_cell_angle_gamma 90.00
loop_
_atom_site_label
_atom_site_fract_x
_atom_site_fract_y
_atom_site_fract_z
Cs1 0.0000 0.0000 0.0000
Au1 0.5000 0.5000 0.5000
I1 0.0000 0.5000 0.0000
N1 0.0000 0.0000 0.5000
```

* relative energy among the computed polymorphs: 1161 meV/atom
* calculated density: 4.11 Mg/m³
* crystal system: tetragonal
* final energy: -1.799 eV per atom

=====

Material: CsAuIN2
Method: DFT, PBE
State: optimized geometry

Structure (CIF):
```
data_CsAuIN2
_symmetry_space_group_name_H-M 'P 4/m m m'
_symmetry_Int_Tables_number 123
_symmetry_space_group_name_Hall '-P 4 2'
_cell_length_a 4.4567
_cell_length_b 4.4567
_cell_length_c 8.1264
_cell_angle_alpha 90.00
_cell_angle_beta 90.00
_cell_angle_gamma 90.00
loop_
_atom_site_label
_atom_site_fract_x
_atom_site_fract_y
_atom_site_fract_z
Cs1 0.0000 0.0000 0.0000
Au1 0.5000 0.5000 0.5000
I1 0.0000 0.0000 0.5000
N1 0.0000 0.5000 0.0000
```

* relative energy among the computed polymorphs: 859 meV/atom
* calculated density: 4.99 Mg/m³
* crystal system: tetragonal
* final energy: -2.320 eV per atom

=====

Material: CsNaAu2I
Method: DFT, PBE
State: optimized geometry

Structure (CIF):
```
data_CsNaAu2I
_symmetry_space_group_name_H-M 'P 4/m m m'
_symmetry_Int_Tables_number 123
_symmetry_space_group_name_Hall '-P 4 2'
_cell_length_a 5.5708
_cell_length_b 5.5708
_cell_length_c 6.1891
_cell_angle_alpha 90.00
_cell_angle_beta 90.00
_cell_angle_gamma 90.00
loop_
_atom_site_label
_atom_site_fract_x
_atom_site_fract_y
_atom_site_fract_z
Cs1 0.0000 0.0000 0.0000
Na1 0.5000 0.5000 0.5000
Au1 0.0000 0.5000 0.5000
I1 0.5000 0.5000 0.0000
```

* calculated density: 5.85 Mg/m³
* crystal system: tetragonal
* final energy: -2.251 eV per atom

=====

Material: Cs2NaAuI6
Method: DFT, PBE
State: optimized geometry

Structure (CIF):
```
data_Cs2NaAuI6
_symmetry_space_group_name_H-M 'I 4/m m m'
_symmetry_Int_Tables_number 139
_symmetry_space_group_name_Hall '-I 4 2'
_cell_length_a 8.4215
_cell_length_b 8.4215
_cell_length_c 13.2307
_cell_angle_alpha 90.00
_cell_angle_beta 90.00
_cell_angle_gamma 90.00
loop_
_atom_site_label
_atom_site_fract_x
_atom_site_fract_y
_atom_site_fract_z
Cs1 0.0000 0.5000 0.2500
Na1 0.0000 0.0000 0.0000
Au1 0.0000 0.0000 0.5000
I1 0.0000 0.0000 0.2225
I2 0.2250 0.2250 0.5000
```

* calculated density: 4.41 Mg/m³
* crystal system: tetragonal
* final energy: -2.406 eV per atom

=====

Material: Cs2NaAuI
Method: DFT, PBE
State: optimized geometry

Structure (CIF):
```
data_Cs2NaAuI
_symmetry_space_group_name_H-M 'P 4/m m m'
_symmetry_Int_Tables_number 123
_symmetry_space_group_name_Hall '-P 4 2'
_cell_length_a 6.8554
_cell_length_b 6.8554
_cell_length_c 5.6968
_cell_angle_alpha 90.00
_cell_angle_beta 90.00
_cell_angle_gamma 90.00
loop_
_atom_site_label
_atom_site_fract_x
_atom_site_fract_y
_atom_site_fract_z
Cs1 0.0000 0.5000 0.0000
Na1 0.0000 0.0000 0.5000
Au1 0.0000 0.0000 0.0000
I1 0.5000 0.5000 0.5000
```

* calculated density: 3.80 Mg/m³
* crystal system: tetragonal
* final energy: -2.204 eV per atom

=====

Material: Cs3NaAu2I6
Method: DFT, PBE
State: optimized geometry

Structure (CIF):
```
data_Cs3NaAu2I6
_symmetry_space_group_name_H-M 'P -3 m 1'
_symmetry_Int_Tables_number 164
_symmetry_space_group_name_Hall '-P 3 2"'
_cell_length_a 8.8947
_cell_length_b 8.8947
_cell_length_c 10.2267
_cell_angle_alpha 90.00
_cell_angle_beta 90.00
_cell_angle_gamma 120.00
loop_
_atom_site_label
_atom_site_fract_x
_atom_site_fract_y
_atom_site_fract_z
Cs1 0.0000 0.0000 0.0000
Cs2 0.3333 0.6667 0.6474
Na1 0.0000 0.0000 0.5000
Au1 0.3333 0.6667 0.2920
I1 0.1573 0.3146 0.2932
```

* calculated density: 3.74 Mg/m³
* crystal system: trigonal
* final energy: -2.579 eV per atom

=====

Material: Cs2NaAu2I6
Method: DFT, PBE
State: optimized geometry

Structure (CIF):
```
data_Cs2NaAu2I6
_symmetry_space_group_name_H-M 'C 1 2/m 1'
_symmetry_Int_Tables_number 12
_cell_length_a 15.6777
_cell_length_b 7.8942
_cell_length_c 9.7784
_cell_angle_alpha 90.00
_cell_angle_beta 120.39
_cell_angle_gamma 90.00
loop_
_symmetry_equiv_pos_as_xyz
'x,y,z'
'-x,-y,-z'
'-x,y,-z'
'x,-y,z'
'x+1/2,y+1/2,z'
'-x+1/2,-y+1/2,-z'
'-x+1/2,y+1/2,-z'
'x+1/2,-y+1/2,z'
loop_
_atom_site_label
_atom_site_fract_x
_atom_site_fract_y
_atom_site_fract_z
Cs1 0.2123 0.0000 0.2215
Na1 0.0000 0.0000 0.5000
Au1 0.0637 0.5000 0.2609
I1 0.0618 0.2371 0.7993
I2 0.2460 0.0000 0.6486
```

* calculated density: 4.59 Mg/m³
* crystal system: monoclinic
* final energy: -2.495 eV per atom

=====

Material: CsNaAuI3
Method: DFT, PBE
State: optimized geometry

Structure (CIF):
```
data_CsNaAuI3
_symmetry_space_group_name_H-M 'C 1 2/m 1'
_symmetry_Int_Tables_number 12
_cell_length_a 18.7717
_cell_length_b 8.5759
_cell_length_c 7.3977
_cell_angle_alpha 90.00
_cell_angle_beta 98.03
_cell_angle_gamma 90.00
loop_
_symmetry_equiv_pos_as_xyz
'x,y,z'
'-x,-y,-z'
'-x,y,-z'
'x,-y,z'
'x+1/2,y+1/2,z'
'-x+1/2,-y+1/2,-z'
'-x+1/2,y+1/2,-z'
'x+1/2,-y+1/2,z'
loop_
_atom_site_label
_atom_site_fract_x
_atom_site_fract_y
_atom_site_fract_z
Cs1 0.2334 0.0000 0.2213
Na1 0.0472 0.5000 0.2356
Au1 0.0000 0.2323 0.5000
I1 0.0810 0.2505 0.8119
I2 0.2067 0.5000 0.2623
```

* calculated density: 4.13 Mg/m³
* crystal system: monoclinic
* final energy: -2.579 eV per atom

=====

no.,uncorrected formation energy (meV per atom)
1,1312.0
2,2146.8
3,-195.9
4,-846.0
5,-633.6
6,-934.2
7,-778.5
8,-896.0